A plane-wave DFT calculation with meta-GGA SCAN was carried out for Li6Bi2O7 at its PBEsol-relaxed geometry.

Cell: 5.534 6.219 10.738 Å, 90.00 109.56 90.00°
Space group P2_1/c (No. 14)
Unique sites:
Li: 0.152 0.007 0.120
Li: 0.190 0.213 0.353
Li: 0.225 0.743 0.864
Bi: 0.272 0.015 0.634
O: 0.023 0.748 0.008
O: 0.027 0.022 0.754
O: 0.465 0.182 0.213
O: 0.500 0.000 0.500

The total energy comes out at -15.9947 eV per atom. The uncorrected formation energy comes out at -1654 meV per atom.